# 1
# PBE-GGA HfScAl2Mo, optimized geometry
data_HfScAl2Mo
_chemical_formula_sum 'Hf1 Sc1 Al2 Mo1'
_symmetry_space_group_name_H-M 'P 1'
_symmetry_Int_Tables_number 1
_symmetry_space_group_name_Hall 'P 1'
_cell_length_a 5.100
_cell_length_b 4.832
_cell_length_c 5.100
_cell_angle_alpha 90.00
_cell_angle_beta 90.00
_cell_angle_gamma 90.00
loop_
_atom_site_label
_atom_site_type_symbol
_atom_site_fract_x
_atom_site_fract_y
_atom_site_fract_z
Al1 Al 0.500 0.000 0.000
Al2 Al 0.000 0.000 0.500
Sc1 Sc 0.000 0.500 0.000
Mo1 Mo 0.500 0.500 0.500
Hf1 Hf 0.000 0.000 0.000
# Formation energy ... 7.5 eV per formula unit

# 2
# PBE-GGA Li2Cu3F11, optimized geometry
data_Li2Cu3F11
_chemical_formula_sum 'Li4 Cu6 F22'
_symmetry_space_group_name_H-M 'P 1'
_symmetry_Int_Tables_number 1
_symmetry_space_group_name_Hall 'P 1'
_cell_length_a 9.135
_cell_length_b 7.285
_cell_length_c 6.035
_cell_angle_alpha 90.00
_cell_angle_beta 98.25
_cell_angle_gamma 90.00
loop_
_atom_site_label
_atom_site_type_symbol
_atom_site_fract_x
_atom_site_fract_y
_atom_site_fract_z
Cu1 Cu 0.858 0.003 0.338
Cu2 Cu 0.492 0.000 0.514
Cu3 Cu 0.492 0.500 0.514
Cu4 Cu 0.127 0.997 0.690
Cu5 Cu 0.127 0.503 0.690
Cu6 Cu 0.858 0.497 0.338
F1 F 0.879 0.750 0.226
F2 F 0.106 0.250 0.802
F3 F 0.368 0.443 0.261
F4 F 0.333 0.038 0.687
F5 F 0.073 0.061 0.374
F6 F 0.157 0.938 0.991
F7 F 0.912 0.939 0.654
F8 F 0.652 0.538 0.341
F9 F 0.618 0.557 0.767
F10 F 0.618 0.943 0.767
F11 F 0.157 0.562 0.991
F12 F 0.828 0.438 0.037
F13 F 0.157 0.750 0.580
F14 F 0.333 0.462 0.687
F15 F 0.828 0.250 0.448
F16 F 0.553 0.250 0.583
F17 F 0.912 0.561 0.654
F18 F 0.368 0.057 0.261
F19 F 0.432 0.750 0.445
F20 F 0.073 0.439 0.374
F21 F 0.828 0.062 0.037
F22 F 0.652 0.962 0.341
Li1 Li 0.263 0.750 0.175
Li2 Li 0.722 0.250 0.853
Li3 Li 0.781 0.750 0.858
Li4 Li 0.205 0.250 0.170
# Formation energy from raw total energies ... -39.50 kcal/mol of atoms

# 3
# PBE-GGA Ba2Li2As, optimized geometry
data_Ba2Li2As
_chemical_formula_sum 'Ba4 Li4 As2'
_symmetry_space_group_name_H-M 'P 1'
_symmetry_Int_Tables_number 1
_symmetry_space_group_name_Hall 'P 1'
_cell_length_a 7.464
_cell_length_b 7.464
_cell_length_c 5.192
_cell_angle_alpha 90.00
_cell_angle_beta 90.00
_cell_angle_gamma 90.00
loop_
_atom_site_label
_atom_site_type_symbol
_atom_site_fract_x
_atom_site_fract_y
_atom_site_fract_z
Ba1 Ba 0.194 0.694 0.500
Ba2 Ba 0.694 0.806 0.500
Ba3 Ba 0.806 0.306 0.500
Ba4 Ba 0.306 0.194 0.500
Li1 Li 0.365 0.865 0.000
Li2 Li 0.635 0.135 0.000
Li3 Li 0.135 0.365 0.000
Li4 Li 0.865 0.635 0.000
As1 As 0.000 0.000 0.000
As2 As 0.500 0.500 0.000
# Formation energy ... -1.6 eV per formula unit
# ΔE to the lowest computed polymorph ... 0.084 eV per atom

# 4
# PBE-GGA LiAsW, optimized geometry
data_LiAsW
_chemical_formula_sum 'Li1 As1 W1'
_symmetry_space_group_name_H-M 'P 1'
_symmetry_Int_Tables_number 1
_symmetry_space_group_name_Hall 'P 1'
_cell_length_a 6.966
_cell_length_b 6.764
_cell_length_c 2.850
_cell_angle_alpha 82.03
_cell_angle_beta 74.07
_cell_angle_gamma 23.90
loop_
_atom_site_label
_atom_site_type_symbol
_atom_site_fract_x
_atom_site_fract_y
_atom_site_fract_z
W1 W 0.342 0.342 0.658
Li1 Li 0.668 0.668 0.332
As1 As 0.990 0.990 0.010
# Formation energy ... 0.7 eV per formula unit
# ΔE to the lowest computed polymorph ... 0.486 eV per atom

# 5
# PBE-GGA Nd2SmRh, optimized geometry
data_Nd2SmRh
_chemical_formula_sum 'Nd2 Sm1 Rh1'
_symmetry_space_group_name_H-M 'P 1'
_symmetry_Int_Tables_number 1
_symmetry_space_group_name_Hall 'P 1'
_cell_length_a 3.770
_cell_length_b 3.770
_cell_length_c 10.907
_cell_angle_alpha 80.05
_cell_angle_beta 80.05
_cell_angle_gamma 60.00
loop_
_atom_site_label
_atom_site_type_symbol
_atom_site_fract_x
_atom_site_fract_y
_atom_site_fract_z
Sm1 Sm 0.000 0.000 0.000
Nd1 Nd 0.889 0.889 0.333
Nd2 Nd 0.111 0.111 0.667
Rh1 Rh 0.500 0.500 0.500
# Formation energy ... -0.4 eV per formula unit
# ΔE to the lowest computed polymorph ... 0.344 eV per atom

# 6
# PBE-GGA Tb2PaCo9, optimized geometry
data_Tb2PaCo9
_chemical_formula_sum 'Tb2 Pa1 Co9'
_symmetry_space_group_name_H-M 'P 1'
_symmetry_Int_Tables_number 1
_symmetry_space_group_name_Hall 'P 1'
_cell_length_a 4.907
_cell_length_b 4.907
_cell_length_c 8.741
_cell_angle_alpha 73.70
_cell_angle_beta 73.70
_cell_angle_gamma 60.00
loop_
_atom_site_label
_atom_site_type_symbol
_atom_site_fract_x
_atom_site_fract_y
_atom_site_fract_z
Co1 Co 0.334 0.334 0.999
Co2 Co 0.500 0.500 0.500
Co3 Co 0.581 0.581 0.757
Co4 Co 0.581 0.080 0.757
Co5 Co 0.419 0.920 0.243
Co6 Co 0.080 0.581 0.757
Co7 Co 0.419 0.419 0.243
Co8 Co 0.666 0.666 0.001
Co9 Co 0.920 0.419 0.243
Pa1 Pa 0.000 0.000 0.000
Tb1 Tb 0.860 0.860 0.419
Tb2 Tb 0.140 0.140 0.581
# Formation energy ... -2.2 eV per formula unit

Computed total energy (eV per atom) in order:
-5.43; -4.01; -2.79; -6.28; -5.49; -7.08